No. 1
# PBE Sm8SbSe6, relaxed
# Uncorrected formation energy = -1410.0 meV per atom
# ρ = 7.2 Mg/m³
# Raw total energy = -0.411 Ry/atom
# Size of the total moment = 0.0 μB/f.u.
data_Sm8SbSe6
_chemical_formula_sum 'Sm8 Sb1 Se6'
_space_group_name_H-M_alt 'P 1'
_space_group_IT_number 1
_cell_length_a 10.675
_cell_length_b 10.675
_cell_length_c 4.207
_cell_angle_alpha 90.00
_cell_angle_beta 90.00
_cell_angle_gamma 120.00
loop_
_space_group_symop_operation_xyz
'x,y,z'
loop_
_atom_site_label
_atom_site_type_symbol
_atom_site_fract_x
_atom_site_fract_y
_atom_site_fract_z
Sm1 Sm 0.034 0.322 0.244
Sm2 Sm 0.288 0.966 0.244
Sm3 Sm 0.322 0.288 0.756
Sm4 Sm 0.333 0.667 0.752
Sm5 Sm 0.667 0.333 0.248
Sm6 Sm 0.678 0.712 0.244
Sm7 Sm 0.712 0.034 0.756
Sm8 Sm 0.966 0.678 0.756
Sb1 Sb 0.000 0.000 0.000
Se1 Se 0.131 0.649 0.252
Se2 Se 0.351 0.482 0.252
Se3 Se 0.482 0.131 0.748
Se4 Se 0.518 0.869 0.252
Se5 Se 0.649 0.518 0.748
Se6 Se 0.869 0.351 0.748

=====

No. 2
# PBE Sm5SbSe5, relaxed
# Uncorrected formation energy = -1736.1 meV per atom
# ρ = 6.6 Mg/m³
# Raw total energy = -0.429 Ry/atom
# Size of the total moment = 0.0 μB/f.u.
data_Sm5SbSe5
_chemical_formula_sum 'Sm5 Sb1 Se5'
_space_group_name_H-M_alt 'P 1'
_space_group_IT_number 1
_cell_length_a 7.295
_cell_length_b 7.295
_cell_length_c 8.464
_cell_angle_alpha 106.66
_cell_angle_beta 106.66
_cell_angle_gamma 48.51
loop_
_space_group_symop_operation_xyz
'x,y,z'
loop_
_atom_site_label
_atom_site_type_symbol
_atom_site_fract_x
_atom_site_fract_y
_atom_site_fract_z
Sm1 Sm 0.000 0.000 0.000
Sm2 Sm 0.332 0.332 0.657
Sm3 Sm 0.334 0.334 0.178
Sm4 Sm 0.666 0.666 0.822
Sm5 Sm 0.668 0.668 0.343
Sb1 Sb 0.500 0.500 0.000
Se1 Se 0.164 0.164 0.334
Se2 Se 0.171 0.171 0.838
Se3 Se 0.500 0.500 0.500
Se4 Se 0.829 0.829 0.162
Se5 Se 0.836 0.836 0.666

=====

No. 3
# PBE Sm3Sb2Se2, relaxed
# Uncorrected formation energy = -1255.9 meV per atom
# Energy relative to the lowest polymorph listed for this composition = 109 meV/atom
# ρ = 5.9 Mg/m³
# Raw total energy = -0.401 Ry/atom
# Size of the total moment = 0.0 μB/f.u.
data_Sm3Sb2Se2
_chemical_formula_sum 'Sm3 Sb2 Se2'
_space_group_name_H-M_alt 'P 1'
_space_group_IT_number 1
_cell_length_a 8.239
_cell_length_b 8.239
_cell_length_c 7.927
_cell_angle_alpha 117.62
_cell_angle_beta 117.62
_cell_angle_gamma 30.52
loop_
_space_group_symop_operation_xyz
'x,y,z'
loop_
_atom_site_label
_atom_site_type_symbol
_atom_site_fract_x
_atom_site_fract_y
_atom_site_fract_z
Sm1 Sm 0.000 0.000 0.000
Sm2 Sm 0.282 0.282 0.312
Sm3 Sm 0.718 0.718 0.688
Sb1 Sb 0.358 0.358 0.008
Sb2 Sb 0.642 0.642 0.992
Se1 Se 0.128 0.128 0.423
Se2 Se 0.872 0.872 0.577

=====

Please write out number 1 again, unchanged.
# PBE Sm8SbSe6, relaxed
# Uncorrected formation energy = -1410.0 meV per atom
# ρ = 7.2 Mg/m³
# Raw total energy = -0.411 Ry/atom
# Size of the total moment = 0.0 μB/f.u.
data_Sm8SbSe6
_chemical_formula_sum 'Sm8 Sb1 Se6'
_space_group_name_H-M_alt 'P 1'
_space_group_IT_number 1
_cell_length_a 10.675
_cell_length_b 10.675
_cell_length_c 4.207
_cell_angle_alpha 90.00
_cell_angle_beta 90.00
_cell_angle_gamma 120.00
loop_
_space_group_symop_operation_xyz
'x,y,z'
loop_
_atom_site_label
_atom_site_type_symbol
_atom_site_fract_x
_atom_site_fract_y
_atom_site_fract_z
Sm1 Sm 0.034 0.322 0.244
Sm2 Sm 0.288 0.966 0.244
Sm3 Sm 0.322 0.288 0.756
Sm4 Sm 0.333 0.667 0.752
Sm5 Sm 0.667 0.333 0.248
Sm6 Sm 0.678 0.712 0.244
Sm7 Sm 0.712 0.034 0.756
Sm8 Sm 0.966 0.678 0.756
Sb1 Sb 0.000 0.000 0.000
Se1 Se 0.131 0.649 0.252
Se2 Se 0.351 0.482 0.252
Se3 Se 0.482 0.131 0.748
Se4 Se 0.518 0.869 0.252
Se5 Se 0.649 0.518 0.748
Se6 Se 0.869 0.351 0.748